Record 1
BaTbPd2: optimized geometry, PBE-GGA.

a = 3.6602 Å, b = 3.6602 Å, c = 7.6344 Å
α = 90.00°, β = 90.00°, γ = 90.00°
Closest atoms and distances in Å follow each position.
Space group P4/mmm (No. 123)
Symmetry-distinct sites (fractional):
Ba: 0.0000 0.0000 0.0000  8 Pd 3.47, 4 Ba 3.66, 2 Tb 3.82
Tb: 0.0000 0.0000 0.5000  8 Pd 2.99
Pd: 0.5000 0.5000 0.3034  4 Tb 2.99, 1 Pd 3.00

Values from the calculation:
Electronic total energy   -4.93 eV per atom
Total moment   0.00 μB/f.u.
ρ   8.3 g/cm³
E above lowest polymorph   0.000 eV/atom
Formation energy   -0.69 eV per atom


Record 2
BaTbPd2: optimized geometry, PBE-GGA.

a = 5.2800 Å, b = 5.2800 Å, c = 3.6284 Å
α = 90.00°, β = 90.00°, γ = 90.00°
Closest atoms and distances in Å follow each position.
Space group P4/mmm (No. 123)
Symmetry-distinct sites (fractional):
Ba: 0.0000 0.0000 0.0000  8 Pd 3.20
Tb: 0.5000 0.5000 0.0000  8 Pd 3.20
Pd: 0.0000 0.5000 0.5000  4 Ba 3.20, 4 Tb 3.20

Values from the calculation:
Electronic total energy   -4.77 eV per atom
Total moment   0.00 μB/f.u.
ρ   8.4 g/cm³
E above lowest polymorph   0.161 eV/atom
Formation energy   -0.53 eV per atom


Record 3
BaTbPd2: optimized geometry, PBE-GGA.

a = 4.7734 Å, b = 4.7734 Å, c = 17.4895 Å
α = 90.00°, β = 90.00°, γ = 120.00°
Closest atoms and distances in Å follow each position.
Space group R-3m (No. 166, hexagonal axes)
Symmetry-distinct sites (fractional):
Ba: 0.0000 0.0000 0.0000  8 Pd 3.49-3.69
Tb: 0.0000 0.0000 0.5000  6 Pd 2.86
Pd: 0.0000 0.0000 0.2108  3 Tb 2.86, 3 Pd 3.16

Values from the calculation:
Electronic total energy   -4.84 eV per atom
Total moment   0.00 μB/f.u.
ρ   7.3 g/cm³
E above lowest polymorph   0.087 eV/atom
Formation energy   -0.61 eV per atom


Record 4
BaTc3Pd: optimized geometry, PBE-GGA.

a = 4.9701 Å, b = 4.9701 Å, c = 4.9701 Å
α = 90.00°, β = 90.00°, γ = 90.00°
Closest atoms and distances in Å follow each position.
Space group Pm-3m (No. 221)
Symmetry-distinct sites (fractional):
Ba: 0.0000 0.0000 0.0000  6 Tc 2.49
Tc: 0.0000 0.0000 0.5000  2 Ba 2.49
Pd: 0.5000 0.5000 0.5000  12 Tc 3.51

Values from the calculation:
Electronic total energy   -4.63 eV per atom
Total moment   6.43 μB/f.u.
ρ   7.3 g/cm³
E above lowest polymorph   1.384 eV/atom
Formation energy   3.02 eV per atom


Record 5
Ba2TcPd: optimized geometry, PBE-GGA.

a = 8.5881 Å, b = 8.5881 Å, c = 6.7388 Å
α = 90.00°, β = 90.00°, γ = 90.00°
Closest atoms and distances in Å follow each position.
Space group I-42d (No. 122)
Symmetry-distinct sites (fractional):
Ba: 0.2334 0.2500 0.1250  2 Pd 3.06, 2 Tc 3.25, 2 Ba 3.38
Tc: 0.0000 0.0000 0.5000  4 Ba 3.25, 2 Pd 3.37
Pd: 0.0000 0.0000 0.0000  4 Ba 3.06, 2 Tc 3.37

Values from the calculation:
Electronic total energy   -4.12 eV per atom
Total moment   2.78 μB/f.u.
ρ   6.4 g/cm³
E above lowest polymorph   0.132 eV/atom
Formation energy   0.73 eV per atom


Record 6
BaTc2Pd: optimized geometry, PBE-GGA.

a = 4.6680 Å, b = 4.6680 Å, c = 19.2121 Å
α = 90.00°, β = 90.00°, γ = 90.00°
Closest atoms and distances in Å follow each position.
Space group I4_1/amd (No. 141, origin choice 2)
Symmetry-distinct sites (fractional):
Ba: 0.0000 0.2500 0.3750  4 Pd 3.30, 8 Tc 3.55
Tc: 0.0000 0.0000 0.0000  2 Tc 2.33
Pd: 0.0000 0.2500 0.8750  4 Tc 2.67

Values from the calculation:
Electronic total energy   -6.18 eV per atom
Total moment   0.00 μB/f.u.
ρ   7.0 g/cm³
E above lowest polymorph   0.000 eV/atom
Formation energy   0.79 eV per atom


Record 7
BaTc2Pd: optimized geometry, PBE-GGA.

a = 6.6949 Å, b = 6.6949 Å, c = 6.6949 Å
α = 90.00°, β = 90.00°, γ = 90.00°
Closest atoms and distances in Å follow each position.
Space group Fm-3m (No. 225)
Symmetry-distinct sites (fractional):
Ba: 0.0000 0.0000 0.0000  8 Tc 2.90
Tc: 0.2500 0.2500 0.2500  4 Pd 2.90, 4 Ba 2.90
Pd: 0.0000 0.0000 0.5000  8 Tc 2.90

Values from the calculation:
Electronic total energy   -5.76 eV per atom
Total moment   0.00 μB/f.u.
ρ   9.7 g/cm³
E above lowest polymorph   0.416 eV/atom
Formation energy   1.20 eV per atom


Record 8
BaTc3Pd: optimized geometry, PBE-GGA.

a = 5.0124 Å, b = 5.0124 Å, c = 5.0124 Å
α = 90.00°, β = 90.00°, γ = 90.00°
Closest atoms and distances in Å follow each position.
Space group Pm-3m (No. 221)
Symmetry-distinct sites (fractional):
Ba: 0.0000 0.0000 0.0000  12 Tc 3.54
Tc: 0.0000 0.5000 0.5000  2 Pd 2.51
Pd: 0.5000 0.5000 0.5000  6 Tc 2.51

Values from the calculation:
Electronic total energy   -6.01 eV per atom
Total moment   8.38 μB/f.u.
ρ   7.1 g/cm³
E above lowest polymorph   0.000 eV/atom
Formation energy   1.63 eV per atom


Record 9
Ba2TcPd: optimized geometry, PBE-GGA.

a = 7.8847 Å, b = 7.8847 Å, c = 7.8847 Å
α = 90.00°, β = 90.00°, γ = 90.00°
Closest atoms and distances in Å follow each position.
Space group Fm-3m (No. 225)
Symmetry-distinct sites (fractional):
Ba: 0.2500 0.2500 0.2500  4 Tc 3.41, 4 Pd 3.41
Tc: 0.0000 0.0000 0.0000  8 Ba 3.41
Pd: 0.0000 0.0000 0.5000  8 Ba 3.41

Values from the calculation:
Electronic total energy   -4.25 eV per atom
Total moment   3.01 μB/f.u.
ρ   6.5 g/cm³
E above lowest polymorph   0.000 eV/atom
Formation energy   0.60 eV per atom


Record 10
BaTePd: optimized geometry, PBE-GGA.

a = 4.8046 Å, b = 4.8046 Å, c = 9.6954 Å
α = 90.00°, β = 90.00°, γ = 120.00°
Closest atoms and distances in Å follow each position.
Space group P-3m1 (No. 164)
Symmetry-distinct sites (fractional):
Ba: 0.3333 0.6667 0.2812  1 Pd 3.18, 3 Te 3.49
Te: 0.0000 0.0000 0.0000  6 Pd 2.81
Te: 0.0000 0.0000 0.5000  6 Ba 3.49
Pd: 0.3333 0.6667 0.9535  3 Te 2.81, 3 Pd 2.92

Values from the calculation:
Electronic total energy   -4.49 eV per atom
Total moment   0.00 μB/f.u.
Formation energy (no corrections)   -1.072 eV per atom
ρ   6.4 g/cm³


Record 11
BaTePd: optimized geometry, PBE-GGA.

a = 4.7511 Å, b = 8.2252 Å, c = 9.2210 Å
α = 90.00°, β = 90.00°, γ = 90.00°
Closest atoms and distances in Å follow each position.
Space group Cmcm (No. 63)
Symmetry-distinct sites (fractional):
Ba: 0.0000 0.0000 0.0000  6 Pd 3.58, 6 Te 3.58-3.59
Te: 0.0000 0.3338 0.2500  3 Pd 2.74
Pd: 0.0000 0.3331 0.7500  3 Te 2.74

Values from the calculation:
Electronic total energy   -4.61 eV per atom
Total moment   0.00 μB/f.u.
Formation energy (no corrections)   -1.187 eV per atom
ρ   6.8 g/cm³


Record 12
BaTePd: optimized geometry, PBE-GGA.

a = 9.7121 Å, b = 4.6971 Å, c = 8.5915 Å
α = 90.00°, β = 90.00°, γ = 90.00°
Closest atoms and distances in Å follow each position.
Space group Pnma (No. 62)
Symmetry-distinct sites (fractional):
Ba: 0.2204 0.2500 0.0658  2 Pd 3.11-3.46
Te: 0.0066 0.7500 0.2558  3 Pd 2.73-2.88
Pd: 0.0403 0.2500 0.4135  3 Te 2.73-2.88, 2 Pd 2.89

Values from the calculation:
Electronic total energy   -4.47 eV per atom
Total moment   0.00 μB/f.u.
Formation energy (no corrections)   -1.053 eV per atom
ρ   6.3 g/cm³


Record 13
BaTePd: optimized geometry, PBE-GGA.

a = 4.8227 Å, b = 6.5756 Å, c = 6.5835 Å
α = 90.66°, β = 106.44°, γ = 106.28°
Closest atoms and distances in Å follow each position.
Space group P-1 (No. 2)
Symmetry-distinct sites (fractional):
Ba: 0.0011 0.2781 0.2220  4 Pd 3.35-3.68, 4 Te 3.52-3.65
Te: 0.3505 0.2673 0.7677  2 Pd 2.62-2.65
Pd: 0.2490 0.8568 0.3574  2 Te 2.62-2.65, 1 Pd 2.78

Values from the calculation:
Electronic total energy   -4.47 eV per atom
Total moment   0.00 μB/f.u.
Formation energy (no corrections)   -1.053 eV per atom
ρ   6.4 g/cm³


Record 14
BaTePd: optimized geometry, PBE-GGA.

a = 4.8215 Å, b = 6.0989 Å, c = 7.0026 Å
α = 91.74°, β = 97.05°, γ = 102.20°
Closest atoms and distances in Å follow each position.
Space group P1 (No. 1)
Symmetry-distinct sites (fractional):
Ba: 0.0000 0.0000 0.0000  4 Pd 3.24-3.52, 3 Te 3.41-3.55
Ba: 0.2773 0.5407 0.4723  3 Pd 3.14-3.39, 2 Te 3.49-3.52
Te: 0.5836 0.4430 0.9693  2 Pd 2.62-2.80
Te: 0.9021 0.9674 0.5079  3 Pd 2.65-2.79
Pd: 0.4763 0.1269 0.6570  3 Te 2.75-2.80, 1 Pd 2.87
Pd: 0.6340 0.2199 0.2812  2 Te 2.62-2.65, 1 Pd 2.87

Values from the calculation:
Electronic total energy   -4.48 eV per atom
Total moment   0.00 μB/f.u.
Formation energy (no corrections)   -1.064 eV per atom
ρ   6.2 g/cm³